a) Computed, not measured: crystalline CePr5Sn3 at its relaxed geometry at the PBE level of DFT.

Cell lengths 9.8208, 9.8208, 9.8208 Å; angles 129.06, 129.06, 74.91 degrees
Closest atoms and distances in Å follow each position.
Positions (direct):
1 Ce 0.2500 0.7500 0.5000  4 Pr 2.92
2 Ce 0.7500 0.2500 0.5000  4 Pr 2.92
3 Pr 0.0000 0.0000 0.0000  4 Sn 3.38, 8 Pr 3.73
4 Pr 0.0581 0.5581 0.8898  1 Ce 2.92, 1 Sn 3.09
5 Pr 0.1683 0.0581 0.5000  1 Ce 2.92, 1 Sn 3.09
6 Pr 0.3317 0.8317 0.8898  1 Ce 2.92, 1 Sn 3.09
7 Pr 0.4419 0.3317 0.5000  1 Ce 2.92, 1 Sn 3.09
8 Pr 0.5000 0.5000 0.0000  4 Sn 3.38, 8 Pr 3.73
9 Pr 0.5581 0.6683 0.5000  1 Ce 2.92, 1 Sn 3.09
10 Pr 0.6683 0.1683 0.1102  1 Ce 2.92, 1 Sn 3.09
11 Pr 0.8317 0.9419 0.5000  1 Ce 2.92, 1 Sn 3.09
12 Pr 0.9419 0.4419 0.1102  1 Ce 2.92, 1 Sn 3.09
13 Sn 0.1183 0.3817 0.5000  1 Sn 2.83, 2 Pr 3.09
14 Sn 0.2500 0.2500 0.0000  10 Pr 3.53-3.90
15 Sn 0.3817 0.8817 0.2635  1 Sn 2.83, 2 Pr 3.09
16 Sn 0.6183 0.1183 0.7365  1 Sn 2.83, 2 Pr 3.09
17 Sn 0.7500 0.7500 0.0000  10 Pr 3.53-3.90
18 Sn 0.8817 0.6183 0.5000  1 Sn 2.83, 2 Pr 3.09

Size of the total moment   4.65 Bohr magnetons per cell
Space group   No. 140
DOS at the Fermi energy   1.599 states/eV/atom

b) Computed, not measured: crystalline CePr5Sn3 at its relaxed geometry at the PBE level of DFT.

Cell lengths 9.7225, 9.7225, 6.7666 Å; angles 90.00, 90.00, 120.00 degrees
Closest atoms and distances in Å follow each position.
Positions (direct):
1 Ce 0.0000 0.0000 0.0000  2 Ce 3.38, 6 Pr 3.62, 6 Sn 3.67
2 Ce 0.0000 0.0000 0.5000  2 Ce 3.38, 6 Pr 3.62, 6 Sn 3.67
3 Pr 0.0000 0.3289 0.2500  5 Sn 3.23-3.38, 2 Ce 3.62
4 Pr 0.0000 0.6711 0.7500  5 Sn 3.23-3.38, 2 Ce 3.62
5 Pr 0.3289 0.0000 0.2500  5 Sn 3.23-3.38, 2 Ce 3.62
6 Pr 0.3289 0.3289 0.7500  5 Sn 3.23-3.38, 2 Ce 3.62
7 Pr 0.3333 0.6667 0.0000  8 Pr 3.38-3.68, 6 Sn 3.65
8 Pr 0.3333 0.6667 0.5000  8 Pr 3.38-3.68, 6 Sn 3.65
9 Pr 0.6667 0.3333 0.0000  8 Pr 3.38-3.68, 6 Sn 3.65
10 Pr 0.6667 0.3333 0.5000  8 Pr 3.38-3.68, 6 Sn 3.65
11 Pr 0.6711 0.0000 0.7500  5 Sn 3.23-3.38, 2 Ce 3.62
12 Pr 0.6711 0.6711 0.2500  5 Sn 3.23-3.38, 2 Ce 3.62
13 Sn 0.0000 0.3355 0.7500  5 Pr 3.23-3.38
14 Sn 0.0000 0.6645 0.2500  5 Pr 3.23-3.38
15 Sn 0.3355 0.0000 0.7500  5 Pr 3.23-3.38
16 Sn 0.3355 0.3355 0.2500  5 Pr 3.23-3.38
17 Sn 0.6645 0.0000 0.2500  5 Pr 3.23-3.38
18 Sn 0.6645 0.6645 0.7500  5 Pr 3.23-3.38

Size of the total moment   7.02 Bohr magnetons per cell
Space group   No. 193
DOS at the Fermi energy   1.377 states/eV/atom

Winner for stability: b)

a) Computed, not measured: crystalline SrCePr2 at its relaxed geometry at the PBE level of DFT.

Cell lengths 3.7039, 3.7039, 10.8817 Å; angles 90.00, 90.00, 90.00 degrees
Closest atoms and distances in Å follow each position.
Positions (direct):
1 Sr 0.0000 0.0000 0.0000  4 Sr 3.70, 8 Pr 4.05
2 Ce 0.0000 0.0000 0.5000  8 Pr 3.52, 4 Ce 3.70
3 Pr 0.5000 0.5000 0.2838  4 Ce 3.52, 4 Pr 3.70
4 Pr 0.5000 0.5000 0.7162  4 Ce 3.52, 4 Pr 3.70

Size of the total moment   0.28 Bohr magnetons per cell
Space group   No. 123
DOS at the Fermi energy   1.847 states/eV/atom

b) Computed, not measured: crystalline SrCePr2 at its relaxed geometry at the PBE level of DFT.

Cell lengths 10.5993, 10.5993, 10.5993 Å; angles 23.17, 23.17, 23.17 degrees
Closest atoms and distances in Å follow each position.
Positions (direct):
1 Sr 0.0000 0.0000 0.0000  2 Pr 3.58
2 Ce 0.5000 0.5000 0.5000  6 Pr 2.92
3 Pr 0.1159 0.1159 0.1159  3 Ce 2.92
4 Pr 0.8841 0.8841 0.8841  3 Ce 2.92

Size of the total moment   0.00 Bohr magnetons per cell
Space group   No. 166
DOS at the Fermi energy   1.698 states/eV/atom

Winner for stability: a)

a) Computed, not measured: crystalline TbCePr2 at its relaxed geometry at the PBE level of DFT.

Cell lengths 12.7944, 12.7944, 12.7944 Å; angles 15.74, 15.74, 15.74 degrees
Closest atoms and distances in Å follow each position.
Positions (direct):
1 Tb 0.0000 0.0000 0.0000  6 Tb 3.50, 6 Pr 3.61
2 Ce 0.5000 0.5000 0.5000  2 Pr 3.33, 6 Ce 3.50
3 Pr 0.4121 0.4121 0.4121  1 Ce 3.33, 6 Pr 3.50, 3 Tb 3.61
4 Pr 0.5879 0.5879 0.5879  1 Ce 3.33, 6 Pr 3.50, 3 Tb 3.61

Size of the total moment   0.94 Bohr magnetons per cell
Space group   No. 166
DOS at the Fermi energy   2.081 states/eV/atom

b) Computed, not measured: crystalline TbCePr2 at its relaxed geometry at the PBE level of DFT.

Cell lengths 12.0122, 12.0122, 12.0122 Å; angles 17.34, 17.34, 17.34 degrees
Closest atoms and distances in Å follow each position.
Positions (direct):
1 Tb 0.0000 0.0000 0.0000  6 Pr 3.62-3.64, 6 Tb 3.62
2 Ce 0.8332 0.8332 0.8332  6 Pr 3.61-3.62, 6 Ce 3.62
3 Pr 0.4165 0.4165 0.4165  3 Tb 3.62, 3 Ce 3.62, 6 Pr 3.62
4 Pr 0.5826 0.5826 0.5826  3 Ce 3.61, 6 Pr 3.62, 3 Tb 3.64

Size of the total moment   0.83 Bohr magnetons per cell
Space group   No. 160
DOS at the Fermi energy   1.953 states/eV/atom

c) Computed, not measured: crystalline TbCePr2 at its relaxed geometry at the PBE level of DFT.

Cell lengths 5.1280, 5.1280, 5.1125 Å; angles 90.00, 90.00, 90.00 degrees
Closest atoms and distances in Å follow each position.
Positions (direct):
1 Tb 0.0000 0.0000 0.0000  8 Pr 3.62, 4 Ce 3.63
2 Ce 0.5000 0.5000 0.0000  8 Pr 3.62, 4 Tb 3.63
3 Pr 0.0000 0.5000 0.5000  4 Ce 3.62, 4 Tb 3.62, 4 Pr 3.63
4 Pr 0.5000 0.0000 0.5000  4 Ce 3.62, 4 Tb 3.62, 4 Pr 3.63

Size of the total moment   0.78 Bohr magnetons per cell
Space group   No. 123
DOS at the Fermi energy   2.146 states/eV/atom

d) Computed, not measured: crystalline TbCePr2 at its relaxed geometry at the PBE level of DFT.

Cell lengths 5.7924, 5.7924, 5.7924 Å; angles 60.00, 60.00, 60.00 degrees
Closest atoms and distances in Å follow each position.
Positions (direct):
1 Tb 0.0000 0.0000 0.0000  8 Pr 3.55
2 Ce 0.5000 0.5000 0.5000  8 Pr 3.55
3 Pr 0.2500 0.2500 0.2500  4 Tb 3.55, 4 Ce 3.55
4 Pr 0.7500 0.7500 0.7500  4 Ce 3.55, 4 Tb 3.55

Size of the total moment   3.20 Bohr magnetons per cell
Space group   No. 225
DOS at the Fermi energy   2.624 states/eV/atom

Winner for stability: b)

a) Computed, not measured: crystalline TbCePr at its relaxed geometry at the PBE level of DFT.

Cell lengths 3.5655, 3.5655, 8.7891 Å; angles 90.00, 90.00, 120.00 degrees
Closest atoms and distances in Å follow each position.
Positions (direct):
1 Tb 0.0000 0.0000 0.0000  3 Ce 3.49, 6 Tb 3.57, 3 Pr 3.70
2 Ce 0.6667 0.3333 0.3201  3 Tb 3.49, 3 Pr 3.56, 6 Ce 3.57
3 Pr 0.3333 0.6667 0.6505  3 Ce 3.56, 6 Pr 3.57, 3 Tb 3.70

Size of the total moment   0.54 Bohr magnetons per cell
Space group   No. 156
DOS at the Fermi energy   2.282 states/eV/atom

b) Computed, not measured: crystalline TbCePr at its relaxed geometry at the PBE level of DFT.

Cell lengths 6.2267, 3.5958, 8.8807 Å; angles 90.00, 103.49, 90.00 degrees
Closest atoms and distances in Å follow each position.
Positions (direct):
1 Tb 0.0264 0.2500 0.3283  3 Ce 3.48-3.51, 5 Pr 3.59-3.68, 4 Tb 3.60-3.62
2 Tb 0.9736 0.7500 0.6717  3 Ce 3.48-3.51, 5 Pr 3.59-3.68, 4 Tb 3.60-3.62
3 Ce 0.2424 0.2500 0.9968  3 Pr 3.47-3.49, 3 Tb 3.48-3.51, 6 Ce 3.53-3.67
4 Ce 0.7576 0.7500 0.0032  3 Pr 3.47-3.49, 3 Tb 3.48-3.51, 6 Ce 3.53-3.67
5 Pr 0.4778 0.2500 0.6794  3 Ce 3.47-3.49, 5 Tb 3.59-3.68, 4 Pr 3.60-3.73
6 Pr 0.5222 0.7500 0.3206  3 Ce 3.47-3.49, 5 Tb 3.59-3.68, 4 Pr 3.60-3.73

Size of the total moment   0.77 Bohr magnetons per cell
Space group   No. 11
DOS at the Fermi energy   1.902 states/eV/atom

Winner for stability: b)